{"formula": "AgIO", "functional": "GGA-PBE", "state": "optimized geometry", "crystal_system": "monoclinic", "cell": [[-1.250, 2.371, 3.930], [-1.589, -2.394, 3.818], [8.982, -0.264, 5.896]], "species": ["I", "I", "Ag", "Ag", "O", "O"], "frac_coords": [[0.269, 0.780, 0.683], [0.731, 0.220, 0.317], [0.048, 0.548, 0.356], [0.952, 0.452, 0.644], [0.576, 0.852, 0.995], [0.424, 0.148, 0.005]]}


{"formula": "Ag2IO3", "functional": "GGA-PBE", "state": "optimized geometry", "crystal_system": "monoclinic", "cell": [[-2.406, -3.153, 1.919], [5.060, -1.112, 4.515], [-2.527, 6.043, 1.705]], "species": ["O", "O", "O", "O", "O", "O", "Ag", "Ag", "Ag", "Ag", "I", "I"], "frac_coords": [[0.886, 0.444, 0.774], [0.888, 0.944, 0.774], [0.114, 0.556, 0.226], [0.411, 0.250, 0.000], [0.589, 0.750, 0.000], [0.112, 0.056, 0.226], [0.303, 0.901, 0.604], [0.697, 0.099, 0.396], [0.699, 0.599, 0.396], [0.301, 0.401, 0.604], [0.005, 0.750, 0.000], [0.995, 0.250, 0.000]]}


{"formula": "AgI2O6", "functional": "GGA-PBE", "state": "optimized geometry", "crystal_system": "monoclinic", "cell": [[4.023, 0.000, 0.000], [2.011, 5.155, 0.012], [2.011, 2.206, 7.067]], "species": ["I", "I", "Ag", "O", "O", "O", "O", "O", "O"], "frac_coords": [[0.191, 0.794, 0.825], [0.809, 0.206, 0.175], [0.000, 0.500, 0.500], [0.033, 0.167, 0.768], [0.662, 0.272, 0.404], [0.967, 0.833, 0.232], [0.701, 0.728, 0.871], [0.299, 0.272, 0.129], [0.338, 0.728, 0.596]]}


{"formula": "Ag5IO6", "functional": "GGA-PBE", "state": "optimized geometry", "crystal_system": "trigonal", "cell": [[11.530, 0.021, 0.013], [9.956, 5.815, 0.013], [9.956, 2.704, 5.148]], "species": ["Ag", "Ag", "Ag", "Ag", "Ag", "Ag", "Ag", "Ag", "Ag", "Ag", "O", "O", "O", "O", "O", "O", "O", "O", "O", "O", "O", "O", "I", "I"], "frac_coords": [[0.750, 0.453, 0.047], [0.851, 0.851, 0.851], [0.250, 0.547, 0.953], [0.453, 0.047, 0.750], [0.649, 0.649, 0.649], [0.149, 0.149, 0.149], [0.047, 0.750, 0.453], [0.953, 0.250, 0.547], [0.351, 0.351, 0.351], [0.547, 0.953, 0.250], [0.480, 0.298, 0.822], [0.702, 0.178, 0.520], [0.980, 0.322, 0.798], [0.798, 0.980, 0.322], [0.822, 0.480, 0.298], [0.298, 0.822, 0.480], [0.520, 0.702, 0.178], [0.202, 0.020, 0.678], [0.178, 0.520, 0.702], [0.322, 0.798, 0.980], [0.020, 0.678, 0.202], [0.678, 0.202, 0.020], [0.000, 0.000, 0.000], [0.500, 0.500, 0.500]]}


{"formula": "Ag2IO5", "functional": "GGA-PBE", "state": "optimized geometry", "crystal_system": "monoclinic", "cell": [[-6.091, 0.502, 1.207], [-2.508, -5.107, 5.546], [-1.877, 2.330, 5.635]], "species": ["O", "O", "O", "O", "O", "O", "O", "O", "O", "O", "Ag", "Ag", "Ag", "Ag", "I", "I"], "frac_coords": [[0.225, 0.150, 0.596], [0.873, 0.917, 0.533], [0.288, 0.817, 0.169], [0.614, 0.750, 0.460], [0.176, 0.250, 0.960], [0.726, 0.317, 0.669], [0.070, 0.534, 0.564], [0.029, 0.650, 0.096], [0.832, 0.034, 0.064], [0.677, 0.417, 0.033], [0.650, 0.574, 0.243], [0.252, 0.993, 0.386], [0.369, 0.493, 0.886], [0.533, 0.074, 0.743], [0.951, 0.784, 0.314], [0.951, 0.284, 0.814]]}


{"formula": "AgI2O4", "functional": "GGA-PBE", "state": "optimized geometry", "crystal_system": "triclinic", "cell": [[-1.312, 6.463, -0.958], [-2.458, 0.413, 6.182], [7.543, -0.855, -0.546]], "species": ["Ag", "Ag", "I", "I", "I", "I", "O", "O", "O", "O", "O", "O", "O", "O"], "frac_coords": [[0.250, 0.711, 0.496], [0.000, 0.966, 0.004], [0.582, 0.932, 0.247], [0.125, 0.363, 0.750], [0.669, 0.435, 0.253], [0.625, 0.305, 0.750], [0.326, 0.534, 0.710], [0.924, 0.573, 0.789], [0.405, 0.708, 0.249], [0.846, 0.209, 0.251], [0.851, 0.144, 0.797], [0.877, 0.683, 0.344], [0.398, 0.097, 0.703], [0.373, 0.089, 0.157]]}


{"formula": "Ag4IO5", "functional": "GGA-PBE", "state": "optimized geometry", "crystal_system": "tetragonal", "cell": [[-0.128, -4.245, 2.116], [4.407, -0.777, 4.027], [-3.321, -0.049, 5.022]], "species": ["O", "O", "O", "O", "O", "Ag", "Ag", "Ag", "Ag", "I"], "frac_coords": [[0.070, 0.688, 0.201], [0.758, 0.201, 0.312], [0.398, 0.000, 0.000], [0.272, 0.799, 0.688], [0.960, 0.312, 0.799], [0.814, 0.792, 0.611], [0.605, 0.611, 0.208], [0.216, 0.208, 0.389], [0.425, 0.389, 0.792], [0.993, 0.000, 0.000]]}


{"formula": "AgI2O2", "functional": "GGA-PBE", "state": "optimized geometry", "crystal_system": "tetragonal", "cell": [[4.089, 0.000, 0.000], [0.000, 4.089, 0.000], [0.000, 0.000, 8.602]], "species": ["Ag", "O", "O", "I", "I"], "frac_coords": [[0.500, 0.500, 0.500], [0.500, 0.000, 0.000], [0.000, 0.500, 0.000], [0.000, 0.000, 0.500], [0.000, 0.000, 0.000]]}


{"formula": "Ag2IO6", "functional": "GGA-PBE", "state": "optimized geometry", "crystal_system": "trigonal", "cell": [[5.154, -2.860, 0.012], [5.154, 2.860, 0.012], [3.556, 0.000, 4.701]], "species": ["Ag", "Ag", "I", "O", "O", "O", "O", "O", "O"], "frac_coords": [[0.209, 0.209, 0.209], [0.791, 0.791, 0.791], [0.000, 0.000, 0.000], [0.076, 0.816, 0.347], [0.816, 0.347, 0.076], [0.347, 0.076, 0.816], [0.924, 0.184, 0.653], [0.653, 0.924, 0.184], [0.184, 0.653, 0.924]]}


{"formula": "Ag2IO6", "functional": "GGA-PBE", "state": "optimized geometry", "crystal_system": "triclinic", "cell": [[-2.010, 2.242, -2.559], [1.080, -6.025, -4.178], [-6.180, -1.167, 3.799]], "species": ["Ag", "Ag", "O", "O", "O", "O", "O", "O", "I"], "frac_coords": [[0.701, 0.342, 0.377], [0.299, 0.658, 0.623], [0.212, 0.380, 0.443], [0.788, 0.620, 0.557], [0.371, 0.927, 0.807], [0.629, 0.073, 0.193], [0.924, 0.549, 0.064], [0.076, 0.451, 0.936], [0.000, 0.000, 0.000]]}


{"formula": "Ag5IO6", "functional": "GGA-PBE", "state": "optimized geometry", "crystal_system": "monoclinic", "cell": [[-1.976, -1.496, 5.488], [-4.648, -4.522, 0.263], [1.284, -5.952, 0.424]], "species": ["Ag", "Ag", "Ag", "Ag", "Ag", "O", "O", "O", "O", "O", "O", "I"], "frac_coords": [[0.500, 0.156, 0.687], [0.500, 0.500, 0.000], [0.000, 0.328, 0.344], [0.000, 0.672, 0.656], [0.500, 0.844, 0.313], [0.755, 0.033, 0.268], [0.245, 0.699, 0.268], [0.755, 0.301, 0.732], [0.893, 0.762, 0.000], [0.107, 0.238, 0.000], [0.245, 0.967, 0.732], [0.000, 0.000, 0.000]]}


{"formula": "AgI2O2", "functional": "GGA-PBE", "state": "optimized geometry", "crystal_system": "tetragonal", "cell": [[4.284, 0.000, 0.000], [0.000, 4.284, 0.000], [0.000, 0.000, 7.142]], "species": ["I", "I", "O", "O", "Ag"], "frac_coords": [[0.000, 0.000, 0.500], [0.500, 0.500, 0.500], [0.000, 0.500, 0.000], [0.500, 0.000, 0.000], [0.000, 0.000, 0.000]]}


{"formula": "Ag4IO4", "functional": "GGA-PBE", "state": "optimized geometry", "crystal_system": "tetragonal", "cell": [[3.698, 0.000, 0.000], [1.849, 6.340, 0.000], [1.849, 0.000, 6.340]], "species": ["O", "O", "O", "O", "Ag", "Ag", "Ag", "Ag", "I"], "frac_coords": [[0.782, 0.294, 0.141], [0.076, 0.141, 0.706], [0.924, 0.859, 0.294], [0.218, 0.706, 0.859], [0.134, 0.494, 0.238], [0.628, 0.238, 0.506], [0.866, 0.506, 0.762], [0.372, 0.762, 0.494], [0.000, 0.000, 0.000]]}


{"formula": "AgOsI2O", "functional": "GGA-PBE", "state": "optimized geometry", "crystal_system": "tetragonal", "cell": [[-3.075, -4.372, -1.961], [3.623, -3.646, 2.448], [-2.166, 0.051, 3.283]], "species": ["Os", "I", "I", "O", "Ag"], "frac_coords": [[0.500, 0.500, 0.500], [0.500, 0.000, 0.000], [0.000, 0.500, 0.000], [0.000, 0.000, 0.500], [0.000, 0.000, 0.000]]}


{"formula": "AgOsI2O", "functional": "GGA-PBE", "state": "optimized geometry", "crystal_system": "tetragonal", "cell": [[5.628, 0.000, 0.000], [0.000, 5.628, 0.000], [0.000, 0.000, 3.752]], "species": ["I", "I", "O", "Os", "Ag"], "frac_coords": [[0.000, 0.500, 0.000], [0.500, 0.000, 0.000], [0.000, 0.000, 0.500], [0.000, 0.000, 0.000], [0.500, 0.500, 0.500]]}


{"formula": "AgPI2O", "functional": "GGA-PBE", "state": "optimized geometry", "crystal_system": "tetragonal", "cell": [[5.624, 0.000, 0.000], [0.000, 5.624, 0.000], [0.000, 0.000, 3.978]], "species": ["I", "I", "P", "Ag", "O"], "frac_coords": [[0.500, 0.000, 0.000], [0.000, 0.500, 0.000], [0.500, 0.500, 0.500], [0.000, 0.000, 0.000], [0.000, 0.000, 0.500]]}


{"formula": "Ag4PIO4", "functional": "GGA-PBE", "state": "optimized geometry", "crystal_system": "monoclinic", "cell": [[6.879, 0.000, 0.000], [0.000, 9.381, -0.054], [0.000, 3.556, 10.736]], "species": ["I", "I", "I", "I", "O", "O", "O", "O", "O", "O", "O", "O", "O", "O", "O", "O", "O", "O", "O", "O", "Ag", "Ag", "Ag", "Ag", "Ag", "Ag", "Ag", "Ag", "Ag", "Ag", "Ag", "Ag", "Ag", "Ag", "Ag", "Ag", "P", "P", "P", "P"], "frac_coords": [[0.250, 0.101, 0.975], [0.750, 0.947, 0.571], [0.250, 0.053, 0.429], [0.750, 0.899, 0.025], [0.562, 0.263, 0.674], [0.750, 0.133, 0.226], [0.250, 0.502, 0.443], [0.437, 0.625, 0.875], [0.750, 0.407, 0.796], [0.250, 0.867, 0.774], [0.062, 0.737, 0.326], [0.563, 0.375, 0.125], [0.250, 0.652, 0.675], [0.438, 0.737, 0.326], [0.750, 0.348, 0.325], [0.250, 0.593, 0.204], [0.063, 0.625, 0.875], [0.750, 0.498, 0.557], [0.938, 0.263, 0.674], [0.937, 0.375, 0.125], [0.250, 0.316, 0.224], [0.037, 0.361, 0.922], [0.038, 0.005, 0.217], [0.463, 0.361, 0.922], [0.750, 0.615, 0.311], [0.250, 0.385, 0.689], [0.963, 0.639, 0.078], [0.976, 0.706, 0.541], [0.476, 0.294, 0.459], [0.538, 0.995, 0.783], [0.524, 0.706, 0.541], [0.962, 0.995, 0.783], [0.024, 0.294, 0.459], [0.462, 0.005, 0.217], [0.537, 0.639, 0.078], [0.750, 0.684, 0.776], [0.250, 0.694, 0.799], [0.750, 0.359, 0.676], [0.250, 0.641, 0.324], [0.750, 0.306, 0.201]]}


{"formula": "AgPI2O", "functional": "GGA-PBE", "state": "optimized geometry", "crystal_system": "tetragonal", "cell": [[-3.194, -4.580, -1.104], [2.353, -0.395, -5.168], [2.570, -2.114, 1.332]], "species": ["O", "P", "I", "I", "Ag"], "frac_coords": [[0.000, 0.000, 0.500], [0.000, 0.000, 0.000], [0.500, 0.000, 0.000], [0.000, 0.500, 0.000], [0.500, 0.500, 0.500]]}


{"formula": "PaAgIO6", "functional": "GGA-PBE", "state": "optimized geometry", "crystal_system": "trigonal", "cell": [[5.720, 0.000, 0.000], [-2.860, 4.954, 0.000], [0.000, 0.000, 9.885]], "species": ["O", "O", "O", "O", "O", "O", "O", "O", "O", "O", "O", "O", "Ag", "Ag", "I", "I", "Pa", "Pa"], "frac_coords": [[0.622, 0.976, 0.861], [0.354, 0.378, 0.861], [0.622, 0.646, 0.639], [0.024, 0.378, 0.639], [0.354, 0.976, 0.639], [0.976, 0.354, 0.139], [0.024, 0.646, 0.861], [0.378, 0.354, 0.361], [0.976, 0.622, 0.361], [0.378, 0.024, 0.139], [0.646, 0.622, 0.139], [0.646, 0.024, 0.361], [0.000, 0.000, 0.000], [0.000, 0.000, 0.500], [0.333, 0.667, 0.750], [0.667, 0.333, 0.250], [0.333, 0.667, 0.250], [0.667, 0.333, 0.750]]}


{"formula": "Pa2Ag2I2O5", "functional": "GGA-PBE", "state": "optimized geometry", "crystal_system": "tetragonal", "cell": [[4.229, 0.000, 0.000], [0.000, 4.229, 0.000], [-2.115, -2.115, 14.606]], "species": ["Ag", "Ag", "Pa", "Pa", "O", "O", "O", "O", "O", "I", "I"], "frac_coords": [[0.661, 0.661, 0.321], [0.339, 0.339, 0.679], [0.073, 0.073, 0.145], [0.927, 0.927, 0.855], [0.417, 0.917, 0.833], [0.583, 0.083, 0.167], [0.917, 0.417, 0.833], [0.083, 0.583, 0.167], [0.000, 0.000, 0.000], [0.187, 0.187, 0.374], [0.813, 0.813, 0.626]]}


Table of formation energy from raw total energies (eV per formula unit), in record order: -0.36, 0.02, -1.48, -1.89, -0.91, -0.32, -1.03, 0.04, 0.69, 0.97, -1.54, 3.03, -0.62, 6.88, 0.28, 3.86, -9.05, -0.57, -12.13, -24.36
Table of raw total energy (eV per formula unit), in record order: -9.7, -22.1, -37.2, -47.4, -32.9, -26.1, -38.8, -15.8, -36.3, -36.0, -47.1, -12.8, -33.4, -15.3, -21.9, -12.5, -47.2, -16.9, -55.8, -76.9